1.
Compound: Ag2PPt
Source: the Alexandria database
Functional: GGA-PBE
Structure: relaxed

space-group type: P4/mmm
ΔH_f (0 K): 0.25 eV/atom
uncorrected energy: -0.14850 Ha/atom

Cell lengths 2.824, 2.824, 8.364 Å; angles 90.00, 90.00, 90.00 degrees
Sites, in units of the cell vectors:
1 P 0.500 0.500 0.250
2 Ag 0.000 0.000 0.002
3 Ag 0.000 0.000 0.498
4 Pt 0.500 0.500 0.750

2.
Compound: HfCuMo3
Source: the Alexandria database
Functional: GGA-PBE
Structure: relaxed

space-group type: Pm-3m
ΔH_f (0 K): 2.15 eV/atom
uncorrected energy: -0.26313 Ha/atom

Cell lengths 4.756, 4.756, 4.756 Å; angles 90.00, 90.00, 90.00 degrees
Sites, in units of the cell vectors:
1 Mo 0.000 0.000 0.500
2 Hf 0.000 0.000 0.000
3 Mo 0.500 0.000 0.000
4 Cu 0.500 0.500 0.500
5 Mo 0.000 0.500 0.000

3.
Compound: Ho5Mg
Source: the Alexandria database
Functional: GGA-PBE
Structure: relaxed

space-group type: Cm
ΔH_f (0 K): 0.01 eV/atom
uncorrected energy: -0.14946 Ha/atom

Cell lengths 3.725, 6.373, 8.511 Å; angles 111.13, 90.00, 106.99 degrees
Sites, in units of the cell vectors:
1 Ho 0.047 0.093 0.036
2 Ho 0.694 0.388 0.388
3 Ho 0.365 0.731 0.200
4 Ho 0.342 0.684 0.740
5 Ho 0.024 0.048 0.579
6 Mg 0.695 0.390 0.889

4.
Compound: BaNbPb3
Source: the Alexandria database
Functional: GGA-PBE
Structure: relaxed

space-group type: Pm-3m
ΔH_f (0 K): -0.03 eV/atom
uncorrected energy: -0.17089 Ha/atom

Cell lengths 5.576, 5.576, 5.576 Å; angles 90.00, 90.00, 90.00 degrees
Sites, in units of the cell vectors:
1 Nb 0.000 0.000 0.000
2 Pb 0.000 0.000 0.500
3 Ba 0.500 0.500 0.500
4 Pb 0.500 0.000 0.000
5 Pb 0.000 0.500 0.000

Q: Which of these has the lowest uncorrected energy?
A: HfCuMo3